(1)
Entry from Alexandria via LeMat-Bulk: a relaxed structure of Ti2RePd (PBE-GGA).

Cell and atoms, written as extended XYZ:
```
8
Lattice="-1.993 4.494 -4.839 -0.948 -5.197 -4.436 -4.118 -0.601 -3.779" Properties=species:S:1:pos:R:3 pbc="T T T"
Re 0.000 0.000 0.000
Re -3.791 1.771 -6.628
Pd -1.470 -0.351 -4.638
Pd -3.268 -3.075 -6.427
Ti -2.399 2.022 -4.538
Ti -1.865 -2.850 -4.308
Ti -4.189 -0.699 -6.300
Ti -5.665 -1.081 -10.963
```

Values from the calculation:
The value obtained for the formation energy is 52.4 kJ/mol of formula units. As for the total magnetization: 0.000 μB per atom. The value obtained for the volume is 133 Å³ per cell. Its space group is I-42d, No. 122.

***

(2)
Entry from Alexandria via LeMat-Bulk: a relaxed structure of La2Y2Tm3 (PBE-GGA).

Cell and atoms, written as extended XYZ:
```
7
Lattice="-1.154 -4.190 2.632 4.054 3.757 2.855 -6.745 3.492 2.603" Properties=species:S:1:pos:R:3 pbc="T T T"
La -1.866 1.958 2.299
La -1.979 1.101 5.791
Y -4.958 0.658 3.779
Y 1.113 2.401 4.311
Tm -3.843 3.957 4.616
Tm 0.000 0.000 0.000
Tm -0.002 -0.898 3.474
```

Values from the calculation:
The value obtained for the formation energy is 25.8 kJ/mol of formula units. As for the total magnetization: 0.000 μB per atom. The value obtained for the volume is 229 Å³ per cell. Its space group is C2/m, No. 12.

***

(3)
Entry from Alexandria via LeMat-Bulk: a relaxed structure of TmIrO4 (PBE-GGA).

Cell and atoms, written as extended XYZ:
```
24
Lattice="-2.451 4.285 -1.893 -5.664 -1.063 4.928 4.292 4.284 4.139" Properties=species:S:1:pos:R:3 pbc="T T T"
Tm -1.120 5.331 2.906
Tm -3.420 3.458 0.718
Tm -0.404 4.048 6.457
Tm -2.704 2.175 4.268
Ir 1.963 4.235 3.671
Ir -0.289 2.278 1.520
Ir -3.535 5.228 5.655
Ir -5.786 3.271 3.504
O 0.385 6.759 1.457
O -1.008 3.300 -0.031
O 0.488 3.840 2.410
O -1.007 0.561 0.842
O 0.759 5.679 4.193
O 1.263 3.214 5.298
O -2.514 5.507 1.253
O -1.995 3.016 2.369
O -1.829 4.490 4.805
O -1.309 1.998 5.922
O -5.086 4.292 1.877
O -4.582 1.827 2.982
O -2.816 6.944 6.333
O -4.312 3.666 4.765
O -2.816 4.206 7.205
O -4.208 0.747 5.717
```

Values from the calculation:
As for the total magnetization: 0.054 μB per atom. For the energy relative to the elements, uncorrected, the calculation gives -1.930 eV/atom. The value obtained for the volume is 291 Å³ per cell. Its space group is P2_1/c, No. 14.

***

(4)
Entry from Alexandria via LeMat-Bulk: a relaxed structure of ScMoAu2 (PBE-GGA).

Cell and atoms, written as extended XYZ:
```
4
Lattice="5.033 -0.001 0.005 1.535 4.793 -0.005 -3.286 -2.394 2.967" Properties=species:S:1:pos:R:3 pbc="T T T"
Au 0.000 0.000 0.000
Au 3.284 2.396 0.000
Mo 2.516 0.001 1.486
Sc 0.767 2.398 1.481
```

Values from the calculation:
The value obtained for the formation energy is -37.8 kJ/mol of formula units. As for the total magnetization: 0.174 μB per atom. The value obtained for the volume is 72 Å³ per cell. Its space group is I4/mmm, No. 139.

***

(5)
Entry from Alexandria via LeMat-Bulk: a relaxed structure of DyHg2Rh (PBE-GGA).

Cell and atoms, written as extended XYZ:
```
4
Lattice="-4.437 0.954 -1.839 -2.682 -3.617 -1.926 -4.007 -1.583 2.327" Properties=species:S:1:pos:R:3 pbc="T T T"
Rh -5.563 -2.123 -0.719
Hg -2.782 -1.061 -0.359
Hg -8.345 -3.184 -1.078
Dy 0.000 0.000 0.000
```

Values from the calculation:
The value obtained for the formation energy is -112.4 kJ/mol of formula units. As for the total magnetization: 0.000 μB per atom. The value obtained for the volume is 83 Å³ per cell. Its space group is Fm-3m, No. 225.

***

(6)
Entry from Alexandria via LeMat-Bulk: a relaxed structure of TaP2O8 (PBE-GGA).

Cell and atoms, written as extended XYZ:
```
11
Lattice="-1.621 3.743 2.632 -6.168 -0.845 -1.126 -3.188 -3.371 4.300" Properties=species:S:1:pos:R:3 pbc="T T T"
Ta 0.000 0.000 0.000
P -2.196 0.530 1.453
P -8.781 -1.004 4.354
O -3.990 0.537 5.086
O -5.073 -2.633 4.205
O -2.253 1.930 2.135
O -8.724 -2.404 3.671
O -5.904 2.160 1.601
O -6.987 -1.011 0.720
O -3.440 -0.241 1.776
O -7.536 -0.232 4.030
```

Values from the calculation:
As for the total magnetization: 0.095 μB per atom. For the energy relative to the elements, uncorrected, the calculation gives -1.990 eV/atom. The value obtained for the volume is 172 Å³ per cell. Its space group is C2/m, No. 12.